# 1
VASP calculation (GGA-PBE) on an optimized crystal structure of Ho2ThSc7.

Values from the calculation:
E: -5.942 eV per atom
calculated formation energy: 0.15 eV/atom

Cell lengths 6.038, 27.101, 3.316 Å; angles 90.00, 90.00, 90.00 degrees
Space group Cmmm (No. 65)
Unique sites:
Ho: 0.000 0.210 0.000 [4 per cell]
Th: 0.000 0.500 0.500 [2 per cell]
Sc: 0.000 0.000 0.000 [2 per cell]
Sc: 0.000 0.317 0.500 [4 per cell]
Sc: 0.247 0.401 0.000 [8 per cell]


# 2
VASP calculation (GGA-PBE) on an optimized crystal structure of HoThScTi.

Values from the calculation:
E: -6.407 eV per atom
calculated formation energy: 0.15 eV/atom

Cell lengths 7.443, 7.443, 7.443 Å; angles 90.00, 90.00, 90.00 degrees
Space group F-43m (No. 216)
Unique sites:
Ho: 0.000 0.000 0.000 [4 per cell]
Th: 0.000 0.000 0.500 [4 per cell]
Sc: 0.250 0.250 0.250 [4 per cell]
Ti: 0.250 0.250 0.750 [4 per cell]


# 3
VASP calculation (GGA-PBE) on an optimized crystal structure of HoThScTl.

Values from the calculation:
E: -5.105 eV per atom
calculated formation energy: 0.07 eV/atom

Cell lengths 7.573, 7.573, 7.573 Å; angles 90.00, 90.00, 90.00 degrees
Space group F-43m (No. 216)
Unique sites:
Ho: 0.000 0.000 0.000 [4 per cell]
Th: 0.250 0.250 0.250 [4 per cell]
Sc: 0.000 0.000 0.500 [4 per cell]
Tl: 0.250 0.250 0.750 [4 per cell]


# 4
VASP calculation (GGA-PBE) on an optimized crystal structure of Ho2TmThSc5.

Values from the calculation:
E: -5.679 eV per atom
calculated formation energy: 0.18 eV/atom

Cell lengths 5.369, 9.622, 10.133 Å; angles 90.06, 105.33, 90.00 degrees
Space group P1 (No. 1)
Unique sites:
Ho: 0.000 0.000 0.000 [1 per cell]
Ho: 0.033 0.383 0.067 [1 per cell]
Ho: 0.757 0.882 0.517 [1 per cell]
Ho: 0.791 0.500 0.585 [1 per cell]
Tm: 0.104 0.710 0.208 [1 per cell]
Tm: 0.688 0.210 0.379 [1 per cell]
Th: 0.298 0.105 0.599 [1 per cell]
Th: 0.493 0.606 0.987 [1 per cell]
Sc: 0.151 0.044 0.305 [1 per cell]
Sc: 0.206 0.410 0.415 [1 per cell]
Sc: 0.296 0.699 0.595 [1 per cell]
Sc: 0.371 0.406 0.746 [1 per cell]
Sc: 0.420 0.907 0.839 [1 per cell]
Sc: 0.496 0.199 0.991 [1 per cell]
Sc: 0.585 0.910 0.170 [1 per cell]
Sc: 0.639 0.541 0.279 [1 per cell]
Sc: 0.876 0.204 0.755 [1 per cell]
Sc: 0.915 0.704 0.830 [1 per cell]


# 5
VASP calculation (GGA-PBE) on an optimized crystal structure of Ho6Tm2ThSc3.

Values from the calculation:
E: -5.185 eV per atom
calculated formation energy: 0.05 eV/atom

Cell lengths 6.015, 10.418, 11.415 Å; angles 90.00, 100.11, 90.00 degrees
Space group C2/m (No. 12)
Unique sites:
Ho: 0.245 0.000 0.242 [4 per cell]
Ho: 0.248 0.334 0.243 [8 per cell]
Tm: 0.000 0.333 0.500 [4 per cell]
Th: 0.000 0.000 0.500 [2 per cell]
Sc: 0.000 0.167 0.000 [4 per cell]
Sc: 0.000 0.500 0.000 [2 per cell]


# 6
VASP calculation (GGA-PBE) on an optimized crystal structure of Ho2TmThSc.

Values from the calculation:
E: -5.172 eV per atom
calculated formation energy: 0.30 eV/atom

Cell lengths 6.131, 7.710, 6.564 Å; angles 90.00, 90.00, 90.00 degrees
Space group Pmma (No. 51)
Unique sites:
Ho: 0.250 0.206 0.223 [4 per cell]
Tm: 0.250 0.000 0.686 [2 per cell]
Th: 0.250 0.500 0.908 [2 per cell]
Sc: 0.000 0.500 0.500 [2 per cell]